[1]
Density functional theory data (PBE-GGA) for a relaxed HfNbRu2Br crystal.

The calculation puts the magnetization at 0.609 Bohr magnetons per cell. The value obtained for the total energy is -6.371 eV/atom. The calculation puts the uncorrected formation energy at 1.678 eV/atom. For the density of states at the Fermi level, the calculation gives 1.3152 states/eV per atom. Its density is 7.560 g cm⁻³.

The structure belongs to space group P4/mmm (No. 123); the cell edges are 4.801, 4.801 and 5.274 Å and the angles 90.00°, 90.00° and 90.00°. The distinct sites, in fractional coordinates, are Hf at (0.000, 0.000, 0.000), Nb at (0.000, 0.000, 0.500), Ru at (0.000, 0.500, 0.000) and Br at (0.500, 0.500, 0.500).

***

[2]
Density functional theory data (PBE-GGA) for a relaxed TlPb4Au2 crystal.

As for the formation energy: -10 kJ/mol of formula units. The calculation puts the magnetization at 0.000 Bohr magnetons per cell. The value obtained for the total energy is -3.409 eV/atom. The value obtained for the polymorph energy (0 for the lowest one) is 0.15 eV/f.u. For the density of states at the Fermi level, the calculation gives 0.4216 states/eV per atom. Its density is 11.133 g cm⁻³.

The structure belongs to space group R-3m (No. 166, hexagonal axes); the cell edges are 4.6501, 4.6501 and 34.0996 Å and the angles 90.00°, 90.00° and 120.00°. The distinct sites, in fractional coordinates, are Tl at (0.0000, 0.0000, 0.0000), Pb at (0.0000, 0.0000, 0.1998), Pb at (0.0000, 0.0000, 0.3942) and Au at (0.0000, 0.0000, 0.0979).

***

[3]
Density functional theory data (PBE-GGA) for a relaxed SiAg2S crystal.

The calculation puts the magnetization at 0.000 Bohr magnetons per cell. The value obtained for the total energy is -3.427 eV/atom. The calculation puts the uncorrected formation energy at 0.386 eV/atom. The value obtained for the polymorph energy (0 for the lowest one) is 0.00 eV/f.u. For the density of states at the Fermi level, the calculation gives 0.1230 states/eV per atom. Its density is 5.311 g cm⁻³.

The structure belongs to space group I-42d (No. 122); the cell edges are 6.372, 6.372 and 8.497 Å and the angles 90.00°, 90.00° and 90.00°. The distinct sites, in fractional coordinates, are Si at (0.000, 0.000, 0.000), Ag at (0.246, 0.250, 0.125) and S at (0.000, 0.000, 0.500).

***

[4]
Density functional theory data (PBE-GGA) for a relaxed Np4P2Se5 crystal.

The calculation puts the magnetization at 27.798 Bohr magnetons per cell. The value obtained for the total energy is -8.247 eV/atom. The calculation puts the uncorrected formation energy at -0.974 eV/atom. For the density of states at the Fermi level, the calculation gives 2.9796 states/eV per atom. Its density is 8.568 g cm⁻³.

The structure belongs to space group Immm (No. 71); the cell edges are 4.090, 7.403 and 17.982 Å and the angles 90.00°, 90.00° and 90.00°. The distinct sites, in fractional coordinates, are Np at (0.000, 0.000, 0.207), Np at (0.000, 0.271, 0.500), P at (0.000, 0.000, 0.059), Se at (0.000, 0.237, 0.334) and Se at (0.000, 0.500, 0.000).

***

[5]
Density functional theory data (PBE-GGA) for a relaxed SmThBiAs crystal.

As for the formation energy: -402 kJ/mol of formula units. The calculation puts the magnetization at 0.000 Bohr magnetons per cell. The value obtained for the total energy is -6.208 eV/atom. For the density of states at the Fermi level, the calculation gives 0.7554 states/eV per atom. Its density is 9.038 g cm⁻³.

The structure belongs to space group R3m (No. 160, hexagonal axes); the cell edges are 4.3385, 4.3385 and 22.5296 Å and the angles 90.00°, 90.00° and 120.00°. The distinct sites, in fractional coordinates, are Sm at (0.0000, 0.0000, 0.0000), Th at (0.0000, 0.0000, 0.8120), Bi at (0.0000, 0.0000, 0.2393) and As at (0.0000, 0.0000, 0.4072).

***

[6]
Density functional theory data (PBE-GGA) for a relaxed K3Pm2AlS6 crystal.

The calculation puts the magnetization at 0.000 Bohr magnetons per cell. The value obtained for the total energy is -5.008 eV/atom. The calculation puts the uncorrected formation energy at -1.567 eV/atom. For the density of states at the Fermi level, the calculation gives 0.0000 states/eV per atom. Its density is 3.375 g cm⁻³.

The structure belongs to space group C2/m (No. 12); the cell edges are 6.949, 12.046 and 7.729 Å and the angles 90.00°, 107.60° and 90.00°. The distinct sites, in fractional coordinates, are K at (0.000, 0.000, 0.000), K at (0.000, 0.330, 0.000), Pm at (0.000, 0.166, 0.500), Al at (0.000, 0.500, 0.500), S at (0.216, 0.349, 0.696) and S at (0.235, 0.500, 0.305).

***

[7]
Density functional theory data (PBE-GGA) for a relaxed TeIr2Cl crystal.

The calculation puts the magnetization at 0.000 Bohr magnetons per cell. The value obtained for the total energy is -4.792 eV/atom. The calculation puts the uncorrected formation energy at 0.885 eV/atom. The value obtained for the polymorph energy (0 for the lowest one) is 3.14 eV/f.u. For the density of states at the Fermi level, the calculation gives 0.8469 states/eV per atom. Its density is 12.918 g cm⁻³.

The structure belongs to space group Pmmm (No. 47); the cell edges are 2.965, 4.646 and 5.108 Å and the angles 90.00°, 90.00° and 90.00°. The distinct sites, in fractional coordinates, are Te at (0.000, 0.000, 0.000), Ir at (0.000, 0.500, 0.500), Ir at (0.500, 0.500, 0.000) and Cl at (0.500, 0.000, 0.500).

***

[8]
Density functional theory data (PBE-GGA) for a relaxed Li3As crystal.

As for the formation energy: -223 kJ/mol of formula units. The calculation puts the magnetization at 0.000 Bohr magnetons per cell. The value obtained for the total energy is -3.176 eV/atom. For the density of states at the Fermi level, the calculation gives 0.0834 states/eV per atom. Its density is 2.554 g cm⁻³.

The structure belongs to space group P6_3/mmc (No. 194); the cell edges are 5.6827, 5.6827 and 4.4512 Å and the angles 90.00°, 90.00° and 120.00°. The distinct sites, in fractional coordinates, are Li at (0.1828, 0.3657, 0.2500) and As at (0.3333, 0.6667, 0.7500).

***

[9]
Density functional theory data (PBE-GGA) for a relaxed SmErLuGa crystal.

As for the formation energy: -40 kJ/mol of formula units. The calculation puts the magnetization at 0.112 Bohr magnetons per cell. The value obtained for the total energy is -4.311 eV/atom. For the density of states at the Fermi level, the calculation gives 1.5817 states/eV per atom. Its density is 8.853 g cm⁻³.

The structure belongs to space group F-43m (No. 216); the cell edges are 7.500, 7.500 and 7.500 Å and the angles 90.00°, 90.00° and 90.00°. The distinct sites, in fractional coordinates, are Sm at (0.000, 0.000, 0.000), Er at (0.000, 0.000, 0.500), Lu at (0.250, 0.250, 0.250) and Ga at (0.250, 0.250, 0.750).

***

[10]
Density functional theory data (PBE-GGA) for a relaxed CsSiTe2N crystal.

The calculation puts the magnetization at 1.706 Bohr magnetons per cell. The value obtained for the total energy is -2.209 eV/atom. The calculation puts the uncorrected formation energy at 1.968 eV/atom. The value obtained for the polymorph energy (0 for the lowest one) is 9.83 eV/f.u. For the density of states at the Fermi level, the calculation gives 1.0718 states/eV per atom. Its density is 3.938 g cm⁻³.

The structure belongs to space group P4/mmm (No. 123); the cell edges are 6.406, 6.406 and 4.421 Å and the angles 90.00°, 90.00° and 90.00°. The distinct sites, in fractional coordinates, are Cs at (0.000, 0.000, 0.000), Si at (0.500, 0.500, 0.500), Te at (0.000, 0.500, 0.000) and N at (0.000, 0.000, 0.500).

***

[11]
Density functional theory data (PBE-GGA) for a relaxed LaURu crystal.

As for the formation energy: -21 kJ/mol of formula units. The calculation puts the magnetization at 0.123 Bohr magnetons per cell. The value obtained for the total energy is -8.571 eV/atom. For the density of states at the Fermi level, the calculation gives 1.6195 states/eV per atom. Its density is 11.178 g cm⁻³.

The structure belongs to space group I4mm (No. 107); the cell edges are 3.516, 3.516 and 11.488 Å and the angles 90.00°, 90.00° and 90.00°. The distinct sites, in fractional coordinates, are La at (0.000, 0.000, 0.000), U at (0.000, 0.000, 0.699) and Ru at (0.000, 0.000, 0.286).

***

[12]
Density functional theory data (PBE-GGA) for a relaxed Gd2AsIr crystal.

As for the formation energy: -365 kJ/mol of formula units. The calculation puts the magnetization at 41.928 Bohr magnetons per cell. The value obtained for the total energy is -11.363 eV/atom. For the density of states at the Fermi level, the calculation gives 0.0914 states/eV per atom. Its density is 9.778 g cm⁻³.

The structure belongs to space group R-3m (No. 166, hexagonal axes); the cell edges are 4.1182, 4.1182 and 20.1747 Å and the angles 90.00°, 90.00° and 120.00°. The distinct sites, in fractional coordinates, are Gd at (0.0000, 0.0000, 0.2472), As at (0.0000, 0.0000, 0.0000) and Ir at (0.0000, 0.0000, 0.5000).